Arrangement one

Entry from the Alexandria database: Ac2Ga2Br after structural relaxation (PBE).

Lattice parameters (Å, degrees): 4.3716 4.3716 9.2369 89.99 103.70 120.00
Atoms (fractional coordinates):
Ga 0.3470 0.1735 0.5205
Br 0.0000 0.0000 0.0000
Ac 0.8342 0.4171 0.2512
Ga 0.6530 0.8265 0.4795
Ac 0.1658 0.5829 0.7488

Properties
**SG**: No. 166


Arrangement two

Entry from the Alexandria database: Ac2Ga2Br after structural relaxation (PBE).

Lattice parameters (Å, degrees): 4.3793 8.1087 10.3850 112.99 102.14 90.00
Atoms (fractional coordinates):
Ga 0.2109 0.4606 0.4216
Ga 0.2109 0.9606 0.4216
Ga 0.7891 0.5394 0.5784
Ac 0.3588 0.8592 0.7182
Ac 0.6412 0.6408 0.2818
Br 0.4980 0.2500 0.0000
Ac 0.3588 0.3592 0.7182
Ac 0.6412 0.1408 0.2818
Br 0.5020 0.7500 0.0000
Ga 0.7891 0.0394 0.5784

Properties
**SG**: No. 74


Most favorable structure: arrangement one. The second most favorable one is 0.061 eV/atom above it.


Arrangement one

Entry from the Alexandria database: AcLaGaBr after structural relaxation (PBE).

Lattice parameters (Å, degrees): 4.4726 4.4869 6.3187 90.01 90.00 90.00
Atoms (fractional coordinates):
Ga 0.0000 0.8916 0.0926
Br 0.5000 0.3914 0.5922
Ac 0.0000 0.8914 0.5926
La 0.5000 0.3916 0.0923

Properties
**SG**: No. 47


Arrangement two

Entry from the Alexandria database: AcLaGaBr after structural relaxation (PBE).

Lattice parameters (Å, degrees): 5.5193 5.5193 5.5193 60.00 60.00 60.00
Atoms (fractional coordinates):
Ac 0.0000 0.0000 0.0000
La 0.5000 0.5000 0.5000
Ga 0.7500 0.7500 0.7500
Br 0.2500 0.2500 0.2500

Properties
**SG**: No. 216


Most favorable structure: arrangement one. The second most favorable one is 0.161 eV/atom above it.